(1)
Material: Cu2ReBi
Method: DFT, PBE-GGA
State: optimized geometry

Lattice parameters (Å, degrees): 4.5267 4.5267 4.5267 60.00 60.00 60.00
Element x y z (fractional)
Bi (0.0000, 0.0000, 0.0000)
Cu (0.2500, 0.2500, 0.2500)
Cu (0.5000, 0.5000, 0.5000)
Re (0.7500, 0.7500, 0.7500)

Output
* space-group type: F-43m (216)
* uncorrected energy: -5.1748 eV per atom

(2)
Material: Cu5Ag4
Method: DFT, PBE-GGA
State: optimized geometry

Lattice parameters (Å, degrees): 12.8487 12.8487 12.8487 167.64 163.30 20.83
Element x y z (fractional)
Ag (0.0560, 0.0560, 0.0000)
Ag (0.3792, 0.3792, 0.0000)
Ag (0.6208, 0.6208, 0.0000)
Ag (0.9440, 0.9440, 0.0000)
Cu (0.1771, 0.1771, 0.0000)
Cu (0.2742, 0.2742, 0.0000)
Cu (0.5000, 0.5000, 0.0000)
Cu (0.7258, 0.7258, 0.0000)
Cu (0.8229, 0.8229, 0.0000)

Output
* E_form: 0.0865 eV/atom
* space-group type: Immm (71)
* ΔE to the lowest computed polymorph: 4.44 kJ/mol of atoms

(3)
Material: ReNiB4
Method: DFT, PBE-GGA
State: optimized geometry

Lattice parameters (Å, degrees): 2.9586 2.9586 6.6434 90.00 90.00 120.00
Element x y z (fractional)
B (0.6667, 0.3333, 0.2572)
B (0.3333, 0.6667, 0.2572)
B (0.6667, 0.3333, 0.7428)
B (0.3333, 0.6667, 0.7428)
Ni (0.0000, 0.0000, 0.5000)
Re (0.0000, 0.0000, 0.0000)

Output
* space-group type: P6/mmm (191)
* ΔE to the lowest computed polymorph: 4.89 kJ/mol of atoms

(4)
Material: ScCoAsOs
Method: DFT, PBE-GGA
State: optimized geometry

Lattice parameters (Å, degrees): 4.3385 4.3385 4.3385 60.00 60.00 60.00
Element x y z (fractional)
As (0.0000, 0.0000, 0.0000)
Co (0.7500, 0.7500, 0.7500)
Os (0.2500, 0.2500, 0.2500)
Sc (0.5000, 0.5000, 0.5000)

Output
* space-group type: F-43m (216)
* ΔE to the lowest computed polymorph: 0.00 kJ/mol of atoms

(5)
Material: NaAcDy
Method: DFT, PBE-GGA
State: optimized geometry

Lattice parameters (Å, degrees): 5.6500 5.6500 5.6500 60.00 60.00 60.00
Element x y z (fractional)
Ac (0.0000, 0.0000, 0.0000)
Dy (0.2500, 0.2500, 0.2500)
Na (0.7500, 0.7500, 0.7500)

Output
* space-group type: F-43m (216)
* ΔE to the lowest computed polymorph: 23.74 kJ/mol of atoms

(6)
Material: Ta2W
Method: DFT, PBE-GGA
State: optimized geometry

Lattice parameters (Å, degrees): 5.3924 5.3924 8.6158 90.00 90.00 119.29
Element x y z (fractional)
Ta (0.6674, 0.3326, 0.0591)
Ta (0.1697, 0.3402, 0.2500)
Ta (0.6598, 0.8303, 0.2500)
Ta (0.6674, 0.3326, 0.4409)
Ta (0.3326, 0.6674, 0.5591)
Ta (0.3402, 0.1697, 0.7500)
Ta (0.8303, 0.6598, 0.7500)
Ta (0.3326, 0.6674, 0.9409)
W (0.0000, 0.0000, 0.0000)
W (0.1683, 0.8317, 0.2500)
W (0.0000, 0.0000, 0.5000)
W (0.8317, 0.1683, 0.7500)

Output
* E_form: 0.0473 eV/atom
* space-group type: Cmcm (63)
* ΔE to the lowest computed polymorph: 8.00 kJ/mol of atoms